{
  "formula": "LaTlZn2B",
  "functional": "GGA-PBE",
  "state": "optimized geometry",
  "ef_ev_per_atom": 1.150,
  "sg": "P4/mmm (123)",
  "lattice": [[4.8799, 0.0000, 0.0000], [0.0000, 4.8799, 0.0000], [0.0000, 0.0000, 6.3121]],
  "species": ["La", "Tl", "Zn", "Zn", "B"],
  "frac_coords": [[0.0000, 0.0000, 0.0000], [0.0000, 0.0000, 0.5000], [0.0000, 0.5000, 0.5000], [0.5000, 0.0000, 0.5000], [0.5000, 0.5000, 0.0000]]
}